First-principles (PBE) data for an optimized crystal structure of Sm4Y2Ho2Tm, as listed in Alexandria.

Lattice parameters (Å, degrees): 5.0577 7.9993 8.0009 107.48 90.00 108.43
Positions (direct):
Y 0.1116 0.2232 0.6693
Sm 0.7780 0.5560 0.6684
Sm 0.5550 0.1101 0.3305
Ho 0.6664 0.3328 0.0000
Ho 0.3336 0.6672 0.0000
Y 0.8884 0.7768 0.3307
Sm 0.4450 0.8899 0.6695
Tm 0.0000 0.0000 0.0000
Sm 0.2220 0.4440 0.3316

=====

First-principles (PBE) data for an optimized crystal structure of Sm2Y6Ho3Tm, as listed in Alexandria.

Lattice parameters (Å, degrees): 6.1661 6.1661 11.8052 94.98 94.98 119.95
Positions (direct):
Y 0.5834 0.9160 0.7485
Tm 0.0000 0.0000 0.0000
Ho 0.8336 0.1664 0.5000
Y 0.7514 0.7514 0.2517
Y 0.4166 0.0840 0.2515
Y 0.0840 0.4166 0.2515
Sm 0.3334 0.6666 0.0000
Sm 0.6666 0.3334 0.0000
Ho 0.5000 0.5000 0.5000
Y 0.2486 0.2486 0.7483
Y 0.9160 0.5834 0.7485
Ho 0.1664 0.8336 0.5000

=====

The records above yield spin magnetization values of 0.0000 0.0000 μB per atom, respectively.
The records above yield formation energy values of 21 21 meV/atom, respectively.